No. 1
Entry from Alexandria via LeMat-Bulk: a geometry-optimized YSc3Ga structure (GGA-PBE).

Computed properties:
Density of states at the Fermi level   8.8 states/eV per cell
Energy relative to the elements   0.092 eV per atom
Calculated total energy   -28.028 eV/cell
Relative energy among the computed polymorphs   0.000 eV per atom

a b c (Å): 5.180 5.180 5.180
angles (deg): 90.00 90.00 90.00
Space group Pm-3m (No. 221)
Unique sites:
1 Y 0.000 0.000 0.000
2 Sc 0.000 0.500 0.500
3 Ga 0.500 0.500 0.500

No. 2
Entry from Alexandria via LeMat-Bulk: a geometry-optimized Y2ScGa3 structure (GGA-PBE).

Computed properties:
Density of states at the Fermi level   12.4 states/eV per cell
Energy relative to the elements   -0.354 eV per atom
Calculated total energy   -60.926 eV/cell

a b c (Å): 3.452 5.839 14.346
angles (deg): 90.00 90.00 90.00
Space group Immm (No. 71)
Unique sites:
1 Y 0.000 0.000 0.171
2 Sc 0.000 0.000 0.500
3 Ga 0.000 0.500 0.157
4 Ga 0.000 0.500 0.500

No. 3
Entry from Alexandria via LeMat-Bulk: a geometry-optimized YSc5Ga2 structure (GGA-PBE).

Computed properties:
Density of states at the Fermi level   18.9 states/eV per cell
Energy relative to the elements   -0.258 eV per atom
Calculated total energy   -92.475 eV/cell

a b c (Å): 4.258 8.712 10.257
angles (deg): 90.00 90.00 90.00
Space group Immm (No. 71)
Unique sites:
1 Y 0.000 0.000 0.000
2 Sc 0.000 0.186 0.343
3 Sc 0.000 0.500 0.000
4 Ga 0.000 0.500 0.278

No. 4
Entry from Alexandria via LeMat-Bulk: a geometry-optimized YSc3Ga2 structure (GGA-PBE).

Computed properties:
Density of states at the Fermi level   12.7 states/eV per cell
Energy relative to the elements   -0.463 eV per atom
Calculated total energy   -68.584 eV/cell
Relative energy among the computed polymorphs   0.000 eV per atom

a b c (Å): 4.586 9.021 6.442
angles (deg): 90.00 90.00 90.00
Space group Pmc2_1 (No. 26)
Unique sites:
1 Y 0.000 0.052 0.000
2 Sc 0.000 0.317 0.613
3 Sc 0.500 0.202 0.291
4 Sc 0.500 0.447 0.905
5 Ga 0.000 0.375 0.171
6 Ga 0.500 0.133 0.729

No. 5
Entry from Alexandria via LeMat-Bulk: a geometry-optimized Y2ScGa structure (GGA-PBE).

Computed properties:
Density of states at the Fermi level   12.6 states/eV per cell
Energy relative to the elements   -0.176 eV per atom
Calculated total energy   -68.975 eV/cell

a b c (Å): 3.5518 3.5518 29.8426
angles (deg): 90.00 90.00 120.00
Space group R3m (No. 160, hexagonal axes)
Unique sites:
1 Y 0.0000 0.0000 0.0000
2 Y 0.0000 0.0000 0.1851
3 Sc 0.0000 0.0000 0.4260
4 Ga 0.0000 0.0000 0.5923

No. 6
Entry from Alexandria via LeMat-Bulk: a geometry-optimized Y2ScGa structure (GGA-PBE).

Computed properties:
Density of states at the Fermi level   28.9 states/eV per cell
Energy relative to the elements   0.027 eV per atom
Calculated total energy   -88.712 eV/cell

a b c (Å): 8.371 8.371 6.209
angles (deg): 90.00 90.00 90.00
Space group I-42d (No. 122)
Unique sites:
1 Y 0.208 0.250 0.125
2 Sc 0.000 0.000 0.500
3 Ga 0.000 0.000 0.000